## i
ErScNO: optimized geometry, PBE.

Values from the calculation:
Density (g/cm³): 6.92

Cell: 7.794 6.335 4.711 Å, 90.00 90.00 90.00°
Space group Pbcm (No. 57)
Unique sites:
Er 0.133 0.076 0.250 [4 per cell]
Sc 0.383 0.574 0.250 [4 per cell]
N 0.137 0.062 0.750 [4 per cell]
O 0.382 0.597 0.750 [4 per cell]



## ii
ErScNO: optimized geometry, PBE.

Values from the calculation:
Density (g/cm³): 6.66

Cell: 3.912 3.912 7.896 Å, 90.00 90.00 90.00°
Space group P4/nmm (No. 129, origin choice 2)
Unique sites:
Er 0.250 0.250 0.129 [2 per cell]
Sc 0.250 0.750 0.500 [2 per cell]
N 0.250 0.250 0.628 [2 per cell]
O 0.250 0.750 0.000 [2 per cell]



## iii
ErScNO: optimized geometry, PBE.

Values from the calculation:
Density (g/cm³): 6.90

Cell: 4.705 3.937 6.290 Å, 90.00 90.00 90.00°
Space group Pmma (No. 51)
Unique sites:
Er 0.250 0.000 0.174 [2 per cell]
Sc 0.250 0.500 0.684 [2 per cell]
N 0.250 0.000 0.805 [2 per cell]
O 0.250 0.500 0.348 [2 per cell]



Most stable: iii



## i
ErScNO: optimized geometry, PBE.

Values from the calculation:
Density (g/cm³): 7.06

Cell: 7.728 6.317 4.665 Å, 90.00 90.00 90.00°
Space group Pbcm (No. 57)
Unique sites:
Er 0.129 0.062 0.250 [4 per cell]
Sc 0.382 0.588 0.250 [4 per cell]
N 0.386 0.579 0.750 [4 per cell]
O 0.144 0.088 0.750 [4 per cell]



## ii
ErScNO: optimized geometry, PBE.

Values from the calculation:
Density (g/cm³): 6.92

Cell: 4.616 3.815 6.599 Å, 90.00 90.00 90.00°
Space group Pmma (No. 51)
Unique sites:
Er 0.250 0.000 0.169 [2 per cell]
Sc 0.250 0.500 0.662 [2 per cell]
N 0.250 0.500 0.346 [2 per cell]
O 0.250 0.000 0.813 [2 per cell]



## iii
ErScNO: optimized geometry, PBE.

Values from the calculation:
Density (g/cm³): 8.05

Cell: 3.307 3.307 4.571 Å, 90.00 90.00 90.00°
Space group P4/mmm (No. 123)
Unique sites:
Er 0.000 0.000 0.000 [1 per cell]
Sc 0.500 0.500 0.500 [1 per cell]
N 0.500 0.500 0.000 [1 per cell]
O 0.000 0.000 0.500 [1 per cell]



Most stable: iii